i:
Entry from the Alexandria database: Ba2TaO5 after structural relaxation (PBE).

Unit cell a=6.077 b=6.077 c=3.988 alpha=90.00 beta=90.00 gamma=90.00
Fractional positions:
Ba1 0.000 0.500 0.000
Ba2 0.500 0.000 0.000
Ta1 0.000 0.000 0.500
O1 0.000 0.000 0.000
O2 0.231 0.231 0.500
O3 0.231 0.769 0.500
O4 0.769 0.231 0.500
O5 0.769 0.769 0.500

Summary:
Volume: 147.3 Å³ per cell

=====

ii:
Entry from the Alexandria database: Ba2TaO5 after structural relaxation (PBE).

Unit cell a=7.701 b=5.929 c=11.623 alpha=90.00 beta=90.00 gamma=90.00
Fractional positions:
Ba1 0.020 0.250 0.215
Ba2 0.166 0.750 0.418
Ba3 0.334 0.250 0.918
Ba4 0.480 0.750 0.715
Ba5 0.520 0.250 0.285
Ba6 0.666 0.750 0.082
Ba7 0.834 0.250 0.582
Ba8 0.980 0.750 0.785
Ta1 0.194 0.750 0.061
Ta2 0.306 0.250 0.561
Ta3 0.694 0.750 0.439
Ta4 0.806 0.250 0.939
O1 0.000 0.000 0.000
O2 0.000 0.500 0.000
O3 0.004 0.750 0.177
O4 0.170 0.007 0.617
O5 0.170 0.493 0.617
O6 0.224 0.250 0.402
O7 0.276 0.750 0.902
O8 0.330 0.507 0.117
O9 0.330 0.993 0.117
O10 0.496 0.250 0.677
O11 0.500 0.000 0.500
O12 0.500 0.500 0.500
O13 0.504 0.750 0.323
O14 0.670 0.007 0.883
O15 0.670 0.493 0.883
O16 0.724 0.250 0.098
O17 0.776 0.750 0.598
O18 0.830 0.507 0.383
O19 0.830 0.993 0.383
O20 0.996 0.250 0.823

Summary:
Volume: 530.6 Å³ per cell

=====

Energy ordering: ii at the bottom, the next structure 92 meV per atom above.

=====

i:
Entry from the Alexandria database: BaTbO2 after structural relaxation (PBE).

Unit cell a=6.970 b=6.970 c=6.970 alpha=29.43 beta=29.43 gamma=29.43
Fractional positions:
Ba1 0.000 0.000 0.000
Tb1 0.826 0.826 0.826
O1 0.219 0.219 0.219
O2 0.434 0.434 0.434

Summary:
Volume: 72.4 Å³ per cell

=====

ii:
Entry from the Alexandria database: BaTbO2 after structural relaxation (PBE).

Unit cell a=6.351 b=4.339 c=12.192 alpha=90.00 beta=90.00 gamma=90.00
Fractional positions:
Ba1 0.059 0.250 0.161
Ba2 0.441 0.750 0.661
Ba3 0.559 0.250 0.339
Ba4 0.941 0.750 0.839
Tb1 0.041 0.750 0.390
Tb2 0.459 0.250 0.890
Tb3 0.541 0.750 0.110
Tb4 0.959 0.250 0.610
O1 0.035 0.750 0.583
O2 0.207 0.250 0.754
O3 0.293 0.750 0.254
O4 0.465 0.250 0.083
O5 0.535 0.750 0.917
O6 0.707 0.250 0.746
O7 0.793 0.750 0.246
O8 0.965 0.250 0.417

Summary:
Volume: 336.0 Å³ per cell

=====

Energy ordering: ii at the bottom, the next structure 112 meV per atom above.

=====

i:
Entry from the Alexandria database: BaTc2O8 after structural relaxation (PBE).

Unit cell a=4.780 b=4.780 c=6.593 alpha=90.00 beta=90.00 gamma=90.00
Fractional positions:
Ba1 0.000 0.000 0.000
Tc1 0.000 0.500 0.500
Tc2 0.500 0.000 0.500
O1 0.251 0.251 0.324
O2 0.251 0.251 0.676
O3 0.251 0.749 0.324
O4 0.251 0.749 0.676
O5 0.749 0.251 0.324
O6 0.749 0.251 0.676
O7 0.749 0.749 0.324
O8 0.749 0.749 0.676

Summary:
Volume: 150.6 Å³ per cell

=====

ii:
Entry from the Alexandria database: BaTc2O8 after structural relaxation (PBE).

Unit cell a=5.531 b=5.531 c=7.340 alpha=110.32 beta=110.32 gamma=89.97
Fractional positions:
Ba1 0.000 0.000 0.000
Tc1 0.373 0.373 0.691
Tc2 0.627 0.627 0.309
O1 0.182 0.182 0.747
O2 0.278 0.278 0.421
O3 0.302 0.665 0.196
O4 0.335 0.698 0.804
O5 0.665 0.302 0.196
O6 0.698 0.335 0.804
O7 0.722 0.722 0.579
O8 0.818 0.818 0.253

Summary:
Volume: 195.6 Å³ per cell

=====

Energy ordering: ii at the bottom, the next structure 824 meV per atom above.